Compound: Tb6Ho8In
Source: Alexandria
Functional: PBE
Structure: optimized geometry

## Properties
The formation energy is 19 kJ/mol of atoms. The value obtained for the energy relative to the lowest polymorph listed for this composition is 0.1710 eV/atom.

The structure in CIF format:
```
data_Tb6Ho8In
_symmetry_space_group_name_H-M 'P -3'
_symmetry_Int_Tables_number 147
_cell_length_a 9.1488
_cell_length_b 9.1488
_cell_length_c 6.6622
_cell_angle_alpha 90.00
_cell_angle_beta 90.00
_cell_angle_gamma 120.00
loop_
_symmetry_equiv_pos_as_xyz
'x,y,z'
'-x,-y,-z'
'-y,x-y,z'
'y,-x+y,-z'
'-x+y,-x,z'
'x-y,x,-z'
loop_
_atom_site_label
_atom_site_fract_x
_atom_site_fract_y
_atom_site_fract_z
_atom_site_occupancy
Tb1 0.0778 0.6801 0.1084 1
Ho1 0.0096 0.3175 0.3829 1
Ho2 0.3333 0.6667 0.6735 1
In1 0.0000 0.0000 0.0000 1
```

Compound: IBr2F
Source: Alexandria
Functional: PBE
Structure: optimized geometry

## Properties
The value obtained for the energy relative to the lowest polymorph listed for this composition is 0.3682 eV/atom. The calculation puts the uncorrected formation energy at 0.075 eV per atom.

The structure in CIF format:
```
data_IBr2F
_symmetry_space_group_name_H-M 'R -3 m'
_symmetry_Int_Tables_number 166
_symmetry_space_group_name_Hall '-R 3 2"'
_cell_length_a 3.8601
_cell_length_b 3.8601
_cell_length_c 26.4596
_cell_angle_alpha 90.00
_cell_angle_beta 90.00
_cell_angle_gamma 120.00
loop_
_atom_site_label
_atom_site_fract_x
_atom_site_fract_y
_atom_site_fract_z
_atom_site_occupancy
I1 0.0000 0.0000 0.0000 1
Br1 0.0000 0.0000 0.0989 1
F1 0.0000 0.0000 0.5000 1
```

Compound: KP2Pd
Source: Alexandria
Functional: PBE
Structure: optimized geometry

## Properties
The formation energy is 2 kJ/mol of atoms. The value obtained for the energy relative to the lowest polymorph listed for this composition is 0.3931 eV/atom.

The structure in CIF format:
```
data_KP2Pd
_symmetry_space_group_name_H-M 'I -4 2 d'
_symmetry_Int_Tables_number 122
_symmetry_space_group_name_Hall 'I -4 2bw'
_cell_length_a 7.342
_cell_length_b 7.342
_cell_length_c 7.342
_cell_angle_alpha 90.00
_cell_angle_beta 90.00
_cell_angle_gamma 90.00
loop_
_atom_site_label
_atom_site_fract_x
_atom_site_fract_y
_atom_site_fract_z
_atom_site_occupancy
K1 0.000 0.000 0.000 1
P1 0.143 0.250 0.625 1
Pd1 0.000 0.000 0.500 1
```

Compound: Sr2ZnSi4Pt3
Source: Alexandria
Functional: PBE
Structure: optimized geometry

## Properties
The calculation puts the uncorrected formation energy at -0.792 eV per atom.

The structure in CIF format:
```
data_Sr2ZnSi4Pt3
_symmetry_space_group_name_H-M 'P -4 m 2'
_symmetry_Int_Tables_number 115
_cell_length_a 4.295
_cell_length_b 4.295
_cell_length_c 10.147
_cell_angle_alpha 90.00
_cell_angle_beta 90.00
_cell_angle_gamma 90.00
loop_
_symmetry_equiv_pos_as_xyz
'x,y,z'
'y,-x,-z'
'-x,-y,z'
'-y,x,-z'
'-x,y,z'
'-y,-x,-z'
'x,-y,z'
'y,x,-z'
loop_
_atom_site_label
_atom_site_fract_x
_atom_site_fract_y
_atom_site_fract_z
_atom_site_occupancy
Sr1 0.000 0.500 0.249 1
Zn1 0.000 0.000 0.500 1
Si1 0.000 0.000 0.000 1
Si2 0.000 0.500 0.636 1
Si3 0.500 0.500 0.000 1
Pt1 0.000 0.500 0.881 1
Pt2 0.500 0.500 0.500 1
```